[1]
The following is a DFT calculation (PBE) of InFeMo after structural relaxation.

formation energy from the elements = 0.38 eV/atom
ρ = 9.16 g/cm³
relative energy among the computed polymorphs = 0.165 eV per atom
total magnetization = 1.98 μB/f.u.

Cell and atoms, written as POSCAR:
```
InFeMo
1.0
-3.1482 -0.8889 -3.0075
4.2314 -1.0749 -0.8287
-0.4126 -2.5348 1.1811
Fe In Mo
1 1 1
Direct
0.0000 0.0000 0.9643
0.6667 0.3333 0.2902
0.3333 0.6667 0.7456
```

[2]
The following is a DFT calculation (PBE) of InFeMo2 after structural relaxation.

formation energy from the elements = 0.29 eV/atom
ρ = 9.33 g/cm³
total magnetization = 2.49 μB/f.u.

Cell and atoms, written as POSCAR:
```
InFeMo2
1.0
-3.5356 0.8304 3.6113
-4.4876 -1.7533 1.7375
0.1780 -2.6973 3.6288
Mo In Fe
2 1 1
Direct
0.7521 0.7521 0.7482
0.0171 0.0171 0.9829
0.2423 0.2423 0.2578
0.4885 0.4885 0.5111
```

[3]
The following is a DFT calculation (PBE) of InFeMo2 after structural relaxation.

formation energy from the elements = 0.37 eV/atom
ρ = 9.31 g/cm³
total magnetization = 2.59 μB/f.u.

Cell and atoms, written as POSCAR:
```
InFeMo2
1.0
-1.8486 1.2149 -4.7648
1.4324 -4.9683 0.9278
-2.5252 -1.0504 0.3145
Fe Mo In
1 2 1
Direct
0.5000 0.0000 0.5000
0.0000 0.0000 0.0000
0.5000 0.5000 0.0000
0.0000 0.5000 0.5000
```

> What is the ρ in the first record?

9.16 g/cm³